1:
Density functional theory data (PBE-GGA) for crystalline AgHI2 at its relaxed geometry.

a = 6.3517 Å, b = 7.3350 Å, c = 5.9468 Å
α = 89.99°, β = 89.99°, γ = 90.02°
Last column: nearest neighbours and their distance in Å.
Element x y z (fractional)
Ag 0.2815 0.2038 0.7277  4 I 2.88
Ag 0.2829 0.7038 0.7277  4 I 2.88
H 0.2820 0.9536 0.2277  2 I 1.93
H 0.2820 0.4537 0.2278  2 I 1.93
I 0.0555 0.9534 0.0122  1 H 1.93
I 0.0552 0.4539 0.4440  1 H 1.93
I 0.5088 0.4533 0.0120  1 H 1.93
I 0.5092 0.9542 0.4437  1 H 1.93


2:
Density functional theory data (PBE-GGA) for crystalline AgHI2 at its relaxed geometry.

a = 4.3378 Å, b = 6.7865 Å, c = 17.8214 Å
α = 90.00°, β = 90.00°, γ = 90.00°
Last column: nearest neighbours and their distance in Å.
Element x y z (fractional)
Ag 0.7500 0.4428 0.5915  5 I 2.94-3.08
Ag 0.2500 0.0572 0.0915  5 I 2.94-3.08
Ag 0.2500 0.5572 0.4085  5 I 2.94-3.08
Ag 0.7500 0.9428 0.9085  5 I 2.94-3.08
H 0.7500 0.9920 0.3773  1 I 1.75
H 0.2500 0.5080 0.8773  1 I 1.75
H 0.2500 0.0080 0.6227  1 I 1.75
H 0.7500 0.4920 0.1227  1 I 1.75
I 0.7500 0.2675 0.4408  1 H 2.19
I 0.2500 0.2325 0.9408  1 H 2.19
I 0.2500 0.7325 0.5592  1 H 2.19
I 0.7500 0.7675 0.0592  1 H 2.19
I 0.7500 0.7809 0.3207  1 H 1.75
I 0.2500 0.7191 0.8207  1 H 1.75
I 0.2500 0.2191 0.6793  1 H 1.75
I 0.7500 0.2809 0.1793  1 H 1.75


According to the calculations, the structures order from most to least stable as 1, 2.


1:
Density functional theory data (PBE-GGA) for crystalline AgH2I at its relaxed geometry.

a = 5.5905 Å, b = 5.5905 Å, c = 5.8121 Å
α = 61.25°, β = 61.25°, γ = 90.00°
Last column: nearest neighbours and their distance in Å.
Element x y z (fractional)
I 0.0000 0.0000 0.0000  4 H 3.02
I 0.7500 0.2500 0.5000  4 H 3.02
H 0.4363 0.1250 0.2500  2 Ag 1.79
H 0.3137 0.6250 0.2500  2 Ag 1.79
H 0.3750 0.5637 0.7500  2 Ag 1.79
H 0.8750 0.6863 0.7500  2 Ag 1.79
Ag 0.5000 0.5000 0.0000  4 H 1.79
Ag 0.2500 0.7500 0.5000  4 H 1.79


2:
Density functional theory data (PBE-GGA) for crystalline AgH2I at its relaxed geometry.

a = 4.8160 Å, b = 3.4588 Å, c = 7.4068 Å
α = 90.03°, β = 99.08°, γ = 135.78°
Last column: nearest neighbours and their distance in Å.
Element x y z (fractional)
Ag 0.1961 0.6961 0.3922  4 H 1.70-1.73
H 0.1889 0.1889 0.3778  2 Ag 1.73
H 0.6784 0.1784 0.3569  2 Ag 1.70
I 0.4366 0.4366 0.8731  4 I 3.36-3.46, 1 H 3.57


3:
Density functional theory data (PBE-GGA) for crystalline AgH2I at its relaxed geometry.

a = 4.3472 Å, b = 4.3472 Å, c = 4.3472 Å
α = 60.00°, β = 60.00°, γ = 60.00°
Last column: nearest neighbours and their distance in Å.
Element x y z (fractional)
I 0.5000 0.5000 0.5000  8 H 2.66
H 0.2500 0.2500 0.2500  4 I 2.66, 4 Ag 2.66
H 0.7500 0.7500 0.7500  4 I 2.66, 4 Ag 2.66
Ag 0.0000 0.0000 0.0000  8 H 2.66


According to the calculations, the structures order from most to least stable as 2, 1, 3.


1:
Density functional theory data (PBE-GGA) for crystalline Ag2HI at its relaxed geometry.

a = 4.8655 Å, b = 4.8655 Å, c = 4.8655 Å
α = 60.00°, β = 60.00°, γ = 60.00°
Last column: nearest neighbours and their distance in Å.
Element x y z (fractional)
I 0.5000 0.5000 0.5000  8 Ag 2.98
H 0.0000 0.0000 0.0000  8 Ag 2.98
Ag 0.2500 0.2500 0.2500  4 H 2.98, 4 I 2.98
Ag 0.7500 0.7500 0.7500  4 H 2.98, 4 I 2.98


2:
Density functional theory data (PBE-GGA) for crystalline Ag2HI at its relaxed geometry.

a = 5.5228 Å, b = 5.5228 Å, c = 6.6930 Å
α = 65.63°, β = 65.63°, γ = 90.00°
Last column: nearest neighbours and their distance in Å.
Element x y z (fractional)
I 0.0000 0.0000 0.0000  4 Ag 2.96
I 0.7500 0.2500 0.5000  4 Ag 2.96
H 0.5000 0.5000 0.0000  4 Ag 2.01
H 0.2500 0.7500 0.5000  4 Ag 2.01
Ag 0.4702 0.1250 0.2500  2 H 2.01
Ag 0.2798 0.6250 0.2500  2 H 2.01
Ag 0.3750 0.5298 0.7500  2 H 2.01
Ag 0.8750 0.7202 0.7500  2 H 2.01


According to the calculations, the structures order from most to least stable as 2, 1.


1:
Density functional theory data (PBE-GGA) for crystalline AgHI2N at its relaxed geometry.

a = 6.1788 Å, b = 6.1788 Å, c = 2.9415 Å
α = 90.00°, β = 90.00°, γ = 90.00°
Last column: nearest neighbours and their distance in Å.
Element x y z (fractional)
I 0.0000 0.5000 0.0000  2 I 2.94, 2 H 3.09
I 0.5000 0.0000 0.0000  2 I 2.94, 2 H 3.09
H 0.0000 0.0000 0.0000  2 N 1.47
Ag 0.5000 0.5000 0.5000  2 Ag 2.94
N 0.0000 0.0000 0.5000  2 H 1.47


2:
Density functional theory data (PBE-GGA) for crystalline AgHI2N at its relaxed geometry.

a = 5.8448 Å, b = 5.8448 Å, c = 4.1241 Å
α = 90.00°, β = 90.00°, γ = 90.00°
Last column: nearest neighbours and their distance in Å.
Element x y z (fractional)
I 0.0000 0.5000 0.0000  2 Ag 2.92
I 0.5000 0.0000 0.0000  2 Ag 2.92
H 0.5000 0.5000 0.5000  8 I 3.58
Ag 0.0000 0.0000 0.0000  2 N 2.06
N 0.0000 0.0000 0.5000  2 Ag 2.06


According to the calculations, the structures order from most to least stable as 1, 2.


1:
Density functional theory data (PBE-GGA) for crystalline AgSb2HI at its relaxed geometry.

a = 4.2879 Å, b = 4.2879 Å, c = 8.0707 Å
α = 90.00°, β = 90.00°, γ = 90.00°
Last column: nearest neighbours and their distance in Å.
Element x y z (fractional)
I 0.0000 0.0000 0.5000  4 Ag 3.03
Sb 0.0000 0.5000 0.0000  2 H 2.14
Sb 0.5000 0.0000 0.0000  2 H 2.14
Ag 0.5000 0.5000 0.5000  4 I 3.03
H 0.0000 0.0000 0.0000  4 Sb 2.14


2:
Density functional theory data (PBE-GGA) for crystalline AgSb2HI at its relaxed geometry.

a = 5.3792 Å, b = 5.3792 Å, c = 6.0367 Å
α = 90.00°, β = 90.00°, γ = 90.00°
Last column: nearest neighbours and their distance in Å.
Element x y z (fractional)
I 0.0000 0.0000 0.5000  2 Ag 3.02
Sb 0.0000 0.5000 0.0000  2 Ag 2.69
Sb 0.5000 0.0000 0.0000  2 Ag 2.69
Ag 0.0000 0.0000 0.0000  4 Sb 2.69
H 0.5000 0.5000 0.5000  4 I 3.80, 8 Sb 4.04


According to the calculations, the structures order from most to least stable as 1, 2.


1:
Density functional theory data (PBE-GGA) for crystalline In2AgH at its relaxed geometry.

a = 5.1902 Å, b = 5.1902 Å, c = 7.5576 Å
α = 69.92°, β = 69.92°, γ = 90.00°
Last column: nearest neighbours and their distance in Å.
Element x y z (fractional)
H 0.5000 0.5000 0.0000  4 In 2.24
H 0.2500 0.7500 0.5000  4 In 2.24
Ag 0.0000 0.0000 0.0000  4 In 2.78
Ag 0.7500 0.2500 0.5000  4 In 2.78
In 0.5248 0.1250 0.2500  2 H 2.24
In 0.2252 0.6250 0.2500  2 H 2.24
In 0.3750 0.4752 0.7500  2 H 2.24
In 0.8750 0.7748 0.7500  2 H 2.24


2:
Density functional theory data (PBE-GGA) for crystalline In2AgH at its relaxed geometry.

a = 4.7791 Å, b = 4.7791 Å, c = 4.7791 Å
α = 60.00°, β = 60.00°, γ = 60.00°
Last column: nearest neighbours and their distance in Å.
Element x y z (fractional)
H 0.0000 0.0000 0.0000  8 In 2.93
Ag 0.5000 0.5000 0.5000  8 In 2.93
In 0.2500 0.2500 0.2500  4 H 2.93, 4 Ag 2.93
In 0.7500 0.7500 0.7500  4 H 2.93, 4 Ag 2.93


According to the calculations, the structures order from most to least stable as 1, 2.